# YAuC

A relaxed YAuC crystal (PBE-GGA, Alexandria via LeMat-Bulk).

The calculation puts the final energy at -6.69 eV/atom.

The structure belongs to space group C2/m (No. 12); the cell edges are 8.5252, 3.8051 and 7.6628 Å and the angles 90.00°, 118.45° and 90.00°. The inequivalent atoms are Y at (0.0749, 0.0000, 0.3099), Au at (0.1802, 0.5000, 0.0767) and C at (0.0880, 0.5000, 0.5346).